Density functional theory data (GGA-PBE) for a relaxed structure of Ti3SbW.

Lattice parameters (Å, degrees): 4.846 4.846 4.846 90.00 90.00 90.00
Space group Pm-3m (No. 221)
Symmetry-distinct sites (fractional):
Ti 0.000 0.000 0.500 x3
Sb 0.000 0.000 0.000 x1
W 0.500 0.500 0.500 x1

Calculated values
Spin magnetization: 0.000 μB per cell
Relative energy among the computed polymorphs: 719.7 meV per atom
Formation energy from raw total energies: 1.41 eV per atom